## A
# GGA-PBE Ca2NO, relaxed
data_Ca2NO
_chemical_formula_sum 'Ca8 N4 O4'
_space_group_name_H-M_alt 'F m -3 m'
_space_group_IT_number 225
_space_group_name_Hall '-F 4 2 3'
_cell_length_a 5.993
_cell_length_b 5.993
_cell_length_c 5.993
_cell_angle_alpha 90.00
_cell_angle_beta 90.00
_cell_angle_gamma 90.00
loop_
_atom_site_label
_atom_site_fract_x
_atom_site_fract_y
_atom_site_fract_z
Ca1 0.250 0.250 0.250
N1 0.000 0.000 0.000
O1 0.000 0.000 0.500
# N(E_F) ... 13.47 states/eV/cell



## B
# GGA-PBE Ca2NO, relaxed
data_Ca2NO
_chemical_formula_sum 'Ca8 N4 O4'
_space_group_name_H-M_alt 'I -4 2 d'
_space_group_IT_number 122
_space_group_name_Hall 'I -4 2bw'
_cell_length_a 6.002
_cell_length_b 6.002
_cell_length_c 7.721
_cell_angle_alpha 90.00
_cell_angle_beta 90.00
_cell_angle_gamma 90.00
loop_
_atom_site_label
_atom_site_fract_x
_atom_site_fract_y
_atom_site_fract_z
Ca1 0.233 0.250 0.125
N1 0.000 0.000 0.500
O1 0.000 0.000 0.000
# N(E_F) ... 5.56 states/eV/cell



Energies relative to the most stable structure, in eV/atom: A 0.249; B 0.000.



## A
# GGA-PBE CaSe2NO, relaxed
data_CaSe2NO
_chemical_formula_sum 'Ca1 Se2 N1 O1'
_space_group_name_H-M_alt 'P 4/m m m'
_space_group_IT_number 123
_space_group_name_Hall '-P 4 2'
_cell_length_a 4.401
_cell_length_b 4.401
_cell_length_c 4.445
_cell_angle_alpha 90.00
_cell_angle_beta 90.00
_cell_angle_gamma 90.00
loop_
_atom_site_label
_atom_site_fract_x
_atom_site_fract_y
_atom_site_fract_z
Ca1 0.000 0.000 0.000
Se1 0.000 0.500 0.500
N1 0.500 0.500 0.000
O1 0.500 0.500 0.500
# N(E_F) ... 2.11 states/eV/cell



## B
# GGA-PBE CaSe2NO, relaxed
data_CaSe2NO
_chemical_formula_sum 'Ca1 Se2 N1 O1'
_space_group_name_H-M_alt 'P 4/m m m'
_space_group_IT_number 123
_space_group_name_Hall '-P 4 2'
_cell_length_a 5.779
_cell_length_b 5.779
_cell_length_c 4.677
_cell_angle_alpha 90.00
_cell_angle_beta 90.00
_cell_angle_gamma 90.00
loop_
_atom_site_label
_atom_site_fract_x
_atom_site_fract_y
_atom_site_fract_z
Ca1 0.000 0.000 0.000
Se1 0.000 0.500 0.000
N1 0.000 0.000 0.500
O1 0.500 0.500 0.500
# N(E_F) ... 4.52 states/eV/cell



Energies relative to the most stable structure, in eV/atom: A 0.000; B 0.871.